# 1
Below is a relaxed TaTlZn2 crystal, with properties calculated at the PBE level.

E above lowest polymorph, meV per atom: 160
N(E_F), states/eV per atom: 0.601
V, Å³ per cell: 154
Crystal system: orthorhombic
ΔE_f, eV per atom: 0.367
Theoretical density, g/cm³: 11.17

Lattice parameters (Å, degrees): 3.053 5.310 9.468 90.00 90.00 90.00
Space group Cmm2 (No. 35)
Unique sites:
Ta  0.000  0.000  0.000
Tl  0.000  0.500  0.725
Zn  0.000  0.000  0.460
Zn  0.000  0.500  0.239

---

# 2
Below is a relaxed ZrCd2Pd8 crystal, with properties calculated at the PBE level.

E above lowest polymorph, meV per atom: 0
N(E_F), states/eV per atom: 0.451
V, Å³ per cell: 364
Crystal system: monoclinic
ΔE_f, eV per atom: -0.460
Theoretical density, g/cm³: 10.64

Lattice parameters (Å, degrees): 14.533 4.099 6.359 90.00 105.77 90.00
Space group C2/m (No. 12)
Unique sites:
Zr  0.000  0.000  0.000
Cd  0.224  0.500  0.645
Pd  0.042  0.500  0.726
Pd  0.089  0.000  0.452
Pd  0.134  0.500  0.176
Pd  0.179  0.000  0.912